# Ba4Cd PBE optimized geometry
data_Ba4Cd
_chemical_formula_sum 'Ba4 Cd1'
_space_group_name_H-M_alt 'P 1'
_space_group_IT_number 1
_space_group_name_Hall 'P 1'
_cell_length_a 6.797
_cell_length_b 6.797
_cell_length_c 6.797
_cell_angle_alpha 90.00
_cell_angle_beta 90.00
_cell_angle_gamma 90.00
loop_
_atom_site_label
_atom_site_fract_x
_atom_site_fract_y
_atom_site_fract_z
Ba1 0.000 0.000 0.000
Ba2 0.000 0.500 0.500
Ba3 0.500 0.500 0.000
Cd1 0.500 0.500 0.500
Ba4 0.500 0.000 0.500
# Raw total energy (eV per formula unit): -8.679
# Calculated volume (Å³/cell): 314.0
# Calculated formation energy (eV per atom): -0.01